P) 12
Lattice="4.385 0.000 0.000 -2.192 3.797 0.000 0.000 0.000 25.742" Properties=species:S:1:pos:R:3 comment="SrLaS2 (GGA-PBE, relaxed)" sg="R-3m, No. 166" pbc="T T T"
Sr 0.000 0.000 0.000
Sr 0.000 2.532 17.161
Sr 2.192 1.266 8.581
La 0.000 0.000 12.871
La 0.000 2.532 4.290
La 2.192 1.266 21.451
S 0.000 0.000 2.855
S 0.000 0.000 22.887
S 0.000 2.532 14.306
S 0.000 2.532 20.016
S 2.192 1.266 5.725
S 2.192 1.266 11.436

Q) 12
Lattice="4.184 0.000 0.000 -2.092 3.623 0.000 0.000 0.000 20.893" Properties=species:S:1:pos:R:3 comment="SrLaS2 (GGA-PBE, relaxed)" sg="R-3m, No. 166" pbc="T T T"
Sr 0.000 0.000 0.000
Sr 0.000 2.415 13.929
Sr 2.092 1.208 6.964
La 0.000 0.000 10.447
La 0.000 2.415 3.482
La 2.092 1.208 17.411
S 0.000 0.000 5.188
S 0.000 0.000 15.705
S 0.000 2.415 8.741
S 0.000 2.415 19.117
S 2.092 1.208 1.777
S 2.092 1.208 12.152

Which structure wins on stability? Q) wins.

P) 12
Lattice="4.116 0.000 0.000 -2.058 3.565 0.000 0.000 0.000 21.896" Properties=species:S:1:pos:R:3 comment="SrLaS2 (GGA-PBE, relaxed)" sg="R3m, No. 160" pbc="T T T"
Sr 0.000 0.000 0.000
Sr 0.000 2.377 14.598
Sr 2.058 1.188 7.299
La 0.000 0.000 18.084
La 0.000 2.377 10.785
La 2.058 1.188 3.486
S 0.000 0.000 5.297
S 0.000 0.000 9.073
S 0.000 2.377 1.774
S 0.000 2.377 19.894
S 2.058 1.188 12.595
S 2.058 1.188 16.372

Q) 12
Lattice="4.461 0.000 0.000 -2.231 3.864 0.000 0.000 0.000 25.267" Properties=species:S:1:pos:R:3 comment="SrLaS2 (GGA-PBE, relaxed)" sg="R-3m, No. 166" pbc="T T T"
Sr 0.000 0.000 0.000
Sr 0.000 2.576 16.844
Sr 2.231 1.288 8.422
La 0.000 0.000 12.633
La 0.000 2.576 4.211
La 2.231 1.288 21.056
S 0.000 0.000 9.992
S 0.000 0.000 15.274
S 0.000 2.576 1.570
S 0.000 2.576 6.852
S 2.231 1.288 18.415
S 2.231 1.288 23.697

R) 16
Lattice="7.208 0.000 0.000 0.000 7.208 0.000 0.000 0.000 7.208" Properties=species:S:1:pos:R:3 comment="SrLaS2 (GGA-PBE, relaxed)" sg="Fm-3m, No. 225" pbc="T T T"
Sr 0.000 0.000 0.000
Sr 0.000 3.604 3.604
Sr 3.604 0.000 3.604
Sr 3.604 3.604 0.000
La 0.000 0.000 3.604
La 0.000 3.604 0.000
La 3.604 0.000 0.000
La 3.604 3.604 3.604
S 1.802 1.802 1.802
S 1.802 1.802 5.406
S 1.802 5.406 1.802
S 1.802 5.406 5.406
S 5.406 1.802 1.802
S 5.406 1.802 5.406
S 5.406 5.406 1.802
S 5.406 5.406 5.406

Which structure wins on stability? P) wins.

P) 10
Lattice="4.483 0.000 0.000 0.000 4.483 0.000 0.000 0.000 14.041" Properties=species:S:1:pos:R:3 comment="Sr2LaS2 (GGA-PBE, relaxed)" sg="I4/mmm, No. 139" pbc="T T T"
Sr 0.000 2.241 3.510
Sr 0.000 2.241 10.531
Sr 2.241 0.000 3.510
Sr 2.241 0.000 10.531
La 0.000 0.000 0.000
La 2.241 2.241 7.021
S 0.000 0.000 5.481
S 0.000 0.000 8.560
S 2.241 2.241 1.540
S 2.241 2.241 12.502

Q) 10
Lattice="8.107 0.000 0.000 0.000 8.107 0.000 0.000 0.000 4.192" Properties=species:S:1:pos:R:3 comment="Sr2LaS2 (GGA-PBE, relaxed)" sg="P4/mbm, No. 127" pbc="T T T"
Sr 1.254 2.799 0.000
Sr 2.799 6.853 0.000
Sr 5.308 1.254 0.000
Sr 6.853 5.308 0.000
La 0.000 0.000 2.096
La 4.054 4.054 2.096
S 1.286 5.340 2.096
S 2.768 1.286 2.096
S 5.340 6.821 2.096
S 6.821 2.768 2.096

Which structure wins on stability? Q) wins.

P) 5
Lattice="5.328 0.000 0.000 0.000 5.328 0.000 0.000 0.000 5.328" Properties=species:S:1:pos:R:3 comment="LaTaS3 (GGA-PBE, relaxed)" sg="Pm-3m, No. 221" pbc="T T T"
La 0.000 0.000 0.000
Ta 2.664 2.664 2.664
S 0.000 0.000 2.664
S 0.000 2.664 0.000
S 2.664 0.000 0.000

Q) 10
Lattice="3.565 0.000 0.000 -0.013 5.767 0.000 -1.762 -0.307 10.567" Properties=species:S:1:pos:R:3 comment="LaTaS3 (GGA-PBE, relaxed)" sg="P-1, No. 2" pbc="T T T"
La 0.008 1.012 1.441
La 1.782 4.449 9.125
Ta 0.007 1.529 5.246
Ta 1.783 3.932 5.321
S -0.001 5.107 3.955
S 0.000 3.312 6.977
S 0.029 1.031 9.737
S 1.761 4.430 0.830
S 1.790 2.148 3.590
S 1.791 0.354 6.611

R) 10
Lattice="-2.490 8.034 2.616 2.490 -8.034 2.616 2.490 8.034 -2.616" Properties=species:S:1:pos:R:3 comment="LaTaS3 (GGA-PBE, relaxed)" sg="Imma, No. 74" pbc="T T T"
La 0.000 0.000 0.000
La 0.000 8.034 0.000
Ta 2.490 4.017 0.360
Ta 0.000 4.017 2.256
S 2.490 1.556 0.005
S 2.490 -4.017 2.450
S 2.490 6.478 0.005
S 0.000 1.556 2.611
S 0.000 12.050 0.166
S 0.000 6.478 2.611

Which structure wins on stability? Q) wins.

P) 16
Lattice="6.693 0.000 0.000 0.000 6.693 0.000 0.000 0.000 6.693" Properties=species:S:1:pos:R:3 comment="LaTaS2 (GGA-PBE, relaxed)" sg="Fm-3m, No. 225" pbc="T T T"
La 0.000 0.000 0.000
La 0.000 3.347 3.347
La 3.347 0.000 3.347
La 3.347 3.347 0.000
Ta 0.000 0.000 3.347
Ta 0.000 3.347 0.000
Ta 3.347 0.000 0.000
Ta 3.347 3.347 3.347
S 1.673 1.673 1.673
S 1.673 1.673 5.020
S 1.673 5.020 1.673
S 1.673 5.020 5.020
S 5.020 1.673 1.673
S 5.020 1.673 5.020
S 5.020 5.020 1.673
S 5.020 5.020 5.020

Q) 12
Lattice="3.699 0.000 0.000 -1.850 3.204 0.000 0.000 0.000 25.493" Properties=species:S:1:pos:R:3 comment="LaTaS2 (GGA-PBE, relaxed)" sg="R-3m, No. 166" pbc="T T T"
La 0.000 0.000 0.000
La 0.000 2.136 16.995
La 1.850 1.068 8.498
Ta 0.000 0.000 12.747
Ta 0.000 2.136 4.249
Ta 1.850 1.068 21.244
S 0.000 0.000 10.402
S 0.000 0.000 15.091
S 0.000 2.136 1.904
S 0.000 2.136 6.594
S 1.850 1.068 18.899
S 1.850 1.068 23.589

R) 16
Lattice="5.735 0.000 0.000 0.000 5.735 0.000 0.000 0.000 12.736" Properties=species:S:1:pos:R:3 comment="LaTaS2 (GGA-PBE, relaxed)" sg="I-42d, No. 122" pbc="T T T"
La 0.000 0.000 0.000
La 0.000 2.868 3.184
La 2.868 0.000 9.552
La 2.868 2.868 6.368
Ta 0.000 0.000 6.368
Ta 0.000 2.868 9.552
Ta 2.868 0.000 3.184
Ta 2.868 2.868 0.000
S 1.013 1.434 7.960
S 1.434 3.880 11.144
S 1.434 4.723 4.776
S 1.855 1.434 1.592
S 3.880 4.302 1.592
S 4.302 1.013 4.776
S 4.302 1.855 11.144
S 4.723 4.302 7.960

S) 12
Lattice="3.433 0.000 0.000 -1.716 2.973 0.000 0.000 0.000 26.854" Properties=species:S:1:pos:R:3 comment="LaTaS2 (GGA-PBE, relaxed)" sg="R-3m, No. 166" pbc="T T T"
La 0.000 0.000 0.000
La 0.000 1.982 17.903
La 1.716 0.991 8.951
Ta 0.000 0.000 13.427
Ta 0.000 1.982 4.476
Ta 1.716 0.991 22.378
S 0.000 0.000 2.934
S 0.000 0.000 23.920
S 0.000 1.982 14.969
S 0.000 1.982 20.836
S 1.716 0.991 6.018
S 1.716 0.991 11.885

Which structure wins on stability? P) wins.

P) 16
Lattice="7.132 0.000 0.000 0.000 8.157 0.000 -2.364 0.000 6.702" Properties=species:S:1:pos:R:3 comment="La3TbS4 (GGA-PBE, relaxed)" sg="P2/c, No. 13" pbc="T T T"
La -0.591 1.015 1.676
La -1.773 3.056 5.027
La -0.591 5.101 1.676
La -1.773 7.142 5.027
La 1.793 1.021 5.027
La 2.975 7.136 1.676
Tb 2.975 3.057 1.676
Tb 1.793 5.100 5.027
S 1.815 1.076 0.047
S 0.634 7.081 3.398
S 0.692 3.113 3.350
S -0.490 5.044 6.702
S 5.258 3.113 0.001
S 4.077 5.044 3.352
S 4.135 1.076 3.304
S 2.953 7.081 6.655

Q) 8
Lattice="5.807 0.000 0.000 0.000 5.807 0.000 0.000 0.000 5.807" Properties=species:S:1:pos:R:3 comment="La3TbS4 (GGA-PBE, relaxed)" sg="Pm-3m, No. 221" pbc="T T T"
La 0.000 0.000 2.903
La 0.000 2.903 0.000
La 2.903 0.000 0.000
Tb 2.903 2.903 2.903
S 0.000 0.000 0.000
S 0.000 2.903 2.903
S 2.903 0.000 2.903
S 2.903 2.903 0.000

Which structure wins on stability? P) wins.